The following is a DFT calculation (PBE) of crystalline CuTeCl2 at its relaxed geometry.

a = 3.313 Å, b = 3.313 Å, c = 8.301 Å
α = 90.00°, β = 90.00°, γ = 90.00°
Fractional coordinates of all 4 atoms:
Cu1 0.000 0.000 0.000
Te1 0.500 0.500 0.209
Cl1 0.000 0.000 0.441
Cl2 0.500 0.500 0.848

Results
DOS(E_F), states/eV per cell: 0.6
Energy above the most stable polymorph in this dataset, meV/atom: 312.0
E_tot, Ry/atom: -0.20177